Entry 1:
Density functional theory data (GGA-PBE) for a geometry-optimized Sr2SeF structure.

```
16
Lattice="8.6720 0.0000 0.0000 0.0000 7.7553 0.0000 -3.8176 0.0000 7.1978" Properties=species:S:1:pos:R:3 pbc="T T T"
Sr 1.2090 1.9423 0.6431
Sr -0.6998 1.9354 4.2420
Sr 1.2060 5.2951 2.9554
Sr -0.7029 6.3378 6.5542
Sr 5.5572 1.4175 0.6435
Sr 3.6484 2.4601 4.2424
Sr 5.5541 5.8199 2.9558
Sr 3.6453 5.8130 6.5547
Se -2.5019 4.0710 5.5870
Se -0.5931 7.5619 1.9881
Se 5.4474 0.1934 5.2096
Se 7.3562 3.6842 1.6107
F -0.3972 1.0912 6.7116
F 1.5116 2.7865 3.1127
F 3.3427 4.9688 4.0851
F 5.2515 6.6641 0.4862
```

Values from the calculation:
The calculation puts the uncorrected formation energy at -2.334 eV per atom. The relative energy among the computed polymorphs is 0.000 eV per formula unit. The density of states at the Fermi level comes out at 3.82 states/eV/cell. The calculated density is 3.7 Mg/m³.

Entry 2:
Density functional theory data (GGA-PBE) for a geometry-optimized K7Rb12Li structure.

```
20
Lattice="9.5404 5.5082 5.1409 -9.5404 5.5082 5.1409 0.0000 -11.0163 5.1409" Properties=species:S:1:pos:R:3 pbc="T T T"
K 0.0000 0.0000 0.0000
K -3.6883 -2.1256 6.9573
K -0.0033 -4.2569 8.4654
K -3.6849 2.1313 8.4654
K 3.6849 -2.1313 6.9573
K 0.0033 4.2569 6.9573
K 3.6882 2.1256 8.4654
Rb -2.5121 -6.6789 5.1501
Rb 2.5121 6.6789 10.2725
Rb -0.0039 -2.7268 3.9643
Rb -2.3595 1.3668 3.9643
Rb -7.0402 -1.1639 10.2725
Rb -4.5281 5.5150 5.1501
Rb 2.3635 1.3600 3.9643
Rb -2.3635 -1.3600 11.4584
Rb 4.5281 -5.5150 10.2726
Rb 7.0402 1.1639 5.1501
Rb 2.3595 -1.3668 11.4584
Rb 0.0039 2.7268 11.4584
Li 0.0000 0.0000 7.7113
```

Values from the calculation:
As for the calculated formation energy: 0.030 eV/atom. The density of states at the Fermi level comes out at 14.34 states/eV/cell. The calculated density is 1.3 Mg/m³.

Entry 3:
Density functional theory data (GGA-PBE) for a geometry-optimized Th2Al3Cu12Ni structure.

```
18
Lattice="2.6757 1.5448 11.5601 -2.6757 1.5448 11.5601 0.0000 -3.0896 11.5601" Properties=species:S:1:pos:R:3 pbc="T T T"
Th 0.0000 0.0000 5.0166
Th 0.0000 0.0000 29.6638
Al -1.3378 -0.7724 11.5601
Al -1.3378 0.7724 23.1203
Al 0.0000 1.5448 11.5601
Cu 0.0000 -1.6505 9.6377
Cu -1.4294 0.8253 9.6377
Cu -1.3052 -0.7536 15.3353
Cu -1.4294 -0.8253 25.0427
Cu 0.0000 -1.5071 19.3451
Cu -1.3052 0.7536 19.3451
Cu 1.3052 -0.7536 15.3353
Cu 0.0000 1.5071 15.3353
Cu 1.4294 0.8253 9.6377
Cu 1.3052 0.7536 19.3451
Cu 1.4294 -0.8253 25.0427
Cu 0.0000 1.6505 25.0427
Ni 0.0000 0.0000 17.3402
```

Values from the calculation:
As for the calculated formation energy: 0.084 eV/atom. The density of states at the Fermi level comes out at 8.07 states/eV/cell. The calculated density is 7.9 Mg/m³.

Entry 4:
Density functional theory data (GGA-PBE) for a geometry-optimized Rb3Sn2I5Br2 structure.

```
12
Lattice="-3.1384 3.1384 14.8570 3.1384 -3.1384 14.8570 3.1384 3.1384 -14.8570" Properties=species:S:1:pos:R:3 pbc="T T T"
Rb 0.0000 0.0000 0.0000
Rb 0.0000 0.0000 5.3997
Rb 0.0000 0.0000 24.3144
Sn 0.0000 0.0000 11.6182
Sn 0.0000 0.0000 18.0958
I 3.1384 0.0000 3.0994
I 3.1384 0.0000 11.7576
I 0.0000 0.0000 14.8570
I 0.0000 3.1384 3.0994
I 0.0000 3.1384 11.7576
Br 0.0000 0.0000 8.7702
Br 0.0000 0.0000 20.9438
```

Values from the calculation:
The calculation puts the uncorrected formation energy at -1.051 eV per atom. The calculated density is 3.7 Mg/m³.

| no. | calculated volume (Å³ per cell) | total magnetic moment (μB/atom) |
| --- | --- | --- |
| 1 | 484.1 | 0.000 |
| 2 | 1620.9 | 0.000 |
| 3 | 286.7 | 0.000 |
| 4 | 585.3 | 0.000 |